1.
LiLaAl3: optimized geometry, PBE.

Geometry as extended XYZ:
```
5
Lattice="4.6960 0.0000 0.0000 0.0000 4.6960 0.0000 0.0000 0.0000 4.6960" Properties=species:S:1:pos:R:3 pbc="T T T"
Li 0.0000 0.0000 0.0000
Al 0.0000 2.3480 0.0000
Al 0.0000 0.0000 2.3480
Al 2.3480 0.0000 0.0000
La 2.3480 2.3480 2.3480
```

Results
SG: Pm-3m (221)
Relative energy among the computed polymorphs in eV per atom: 0.275
Crystal system: cubic

=====

2.
YReNi2: optimized geometry, PBE.

Geometry as extended XYZ:
```
4
Lattice="4.1372 0.0000 0.0000 0.0000 2.8931 0.1439 0.0000 1.1853 5.2465" Properties=species:S:1:pos:R:3 pbc="T T T"
Ni 0.0000 0.5408 0.0535
Ni 2.0686 0.4708 1.4875
Re 0.0000 1.8809 2.2276
Y 2.0686 3.2251 4.3170
```

Results
SG: Amm2 (38)
Relative energy among the computed polymorphs in eV per atom: 0.153
Crystal system: orthorhombic

=====

3.
SbOsCI2: optimized geometry, PBE.

Geometry as extended XYZ:
```
5
Lattice="-3.0738 2.8213 -3.6385 -0.9410 -4.6674 -2.8242 -4.0911 -0.8620 2.7878" Properties=species:S:1:pos:R:3 pbc="T T T"
I -0.4705 -2.3337 -1.4121
I -1.5369 1.4106 -1.8192
Sb -2.0456 -0.4310 1.3939
C -4.0530 -1.3541 -1.8374
Os 0.0000 0.0000 0.0000
```

Results
Formation energy (no corrections) in meV per atom: 1972
SG: P4/mmm (123)
Relative energy among the computed polymorphs in eV per atom: 0.000
Crystal system: tetragonal

=====

4.
Cr2MoAs: optimized geometry, PBE.

Geometry as extended XYZ:
```
4
Lattice="2.7427 0.0068 0.0000 -0.9356 2.5782 0.0000 0.0000 0.0000 7.8621" Properties=species:S:1:pos:R:3 pbc="T T T"
As 0.9036 1.2925 6.0179
Cr 0.0000 0.0000 0.0686
Cr 0.9036 1.2925 1.8437
Mo 0.0000 0.0000 3.8629
```

Results
SG: Cmm2 (35)
Crystal system: orthorhombic

=====

5.
LaHf2Mg: optimized geometry, PBE.

Geometry as extended XYZ:
```
8
Lattice="4.4045 0.0000 0.0000 0.0000 4.4045 0.0000 2.2022 2.2022 10.8160" Properties=species:S:1:pos:R:3 pbc="T T T"
Mg 2.2022 2.2022 0.0000
Mg 2.2022 4.4045 5.4080
Hf 3.2830 1.1011 2.7040
Hf 1.1214 3.3033 2.7040
Hf 3.3033 3.3236 8.1120
Hf 5.5056 5.4853 8.1120
La 0.0000 0.0000 0.0000
La 4.4045 2.2022 5.4080
```

Results
SG: I-42d (122)
Crystal system: tetragonal

=====

6.
Ca2Mg2Zn: optimized geometry, PBE.

Geometry as extended XYZ:
```
10
Lattice="3.6194 0.0000 0.0000 0.0000 5.5039 0.1984 0.0000 3.0555 13.7272" Properties=species:S:1:pos:R:3 pbc="T T T"
Ca 3.0925 2.8877 4.2882
Ca 1.2829 5.6716 9.6374
Ca 3.0936 5.7277 1.9326
Ca 1.2839 2.8317 11.9930
Mg 1.2818 3.0016 1.2979
Mg 3.0915 5.5577 12.6277
Mg 3.0900 5.6363 6.6715
Mg 1.2803 2.9230 7.2542
Zn 3.0930 2.9479 9.4592
Zn 1.2833 5.6115 4.4664
```

Results
SG: P2_1/m (11)
Relative energy among the computed polymorphs in eV per atom: 0.024
Crystal system: monoclinic

=====

7.
CrIn2Te: optimized geometry, PBE.

Geometry as extended XYZ:
```
4
Lattice="-2.8370 4.7732 -0.6803 -4.2909 -0.1585 3.5857 5.4590 -0.8486 0.8796" Properties=species:S:1:pos:R:3 pbc="T T T"
Cr -0.4710 3.1160 0.8260
In 0.0000 0.0000 0.0000
In -1.1979 0.6501 2.9590
Te -3.5640 2.3074 1.4527
```

Results
Formation energy (no corrections) in meV per atom: 288
SG: I-4m2 (119)
Crystal system: tetragonal

=====

8.
SiGeSe2: optimized geometry, PBE.

Geometry as extended XYZ:
```
8
Lattice="-6.4503 1.5218 -2.2522 2.0330 -1.1488 -6.5986 -3.1843 -3.4555 -4.0919" Properties=species:S:1:pos:R:3 pbc="T T T"
Ge 0.0000 0.0000 0.0000
Ge -5.9216 -0.8737 -5.3848
Si -2.2087 0.1865 -4.4254
Si -1.6800 -2.2089 -7.5580
Se -4.4429 -0.0872 -3.2099
Se -0.4622 -1.3609 -5.4742
Se -4.0036 -2.4750 -6.5215
Se -6.2945 -2.2421 -10.6800
```

Results
Formation energy (no corrections) in meV per atom: 161
SG: I-42d (122)
Crystal system: tetragonal

=====

9.
HPb2Au2: optimized geometry, PBE.

Geometry as extended XYZ:
```
5
Lattice="3.8432 0.0000 0.0000 0.0000 3.8432 0.0000 1.9216 1.9216 7.9505" Properties=species:S:1:pos:R:3 pbc="T T T"
Pb 1.9216 1.9216 1.5822
Pb 3.8432 3.8432 6.3683
H 0.0000 0.0000 0.0000
Au 3.8432 1.9216 3.9753
Au 1.9216 3.8432 3.9753
```

Results
SG: I4/mmm (139)
Relative energy among the computed polymorphs in eV per atom: 0.089
Crystal system: tetragonal

=====

10.
GdMgZn2: optimized geometry, PBE.

Geometry as extended XYZ:
```
4
Lattice="3.3838 0.0000 0.0000 0.0000 3.3838 0.0000 0.0000 0.0000 7.2120" Properties=species:S:1:pos:R:3 pbc="T T T"
Zn 0.0000 0.0000 5.5978
Zn 0.0000 0.0000 1.6142
Gd 1.6919 1.6919 3.6060
Mg 1.6919 1.6919 0.0000
```

Results
SG: P4/mmm (123)
Relative energy among the computed polymorphs in eV per atom: 0.105
Crystal system: tetragonal

=====

11.
Sr2ZnPt3: optimized geometry, PBE.

Geometry as extended XYZ:
```
12
Lattice="-0.2167 -2.8085 -4.9747 0.0874 -2.9066 4.9220 -8.6901 0.1942 0.2690" Properties=species:S:1:pos:R:3 pbc="T T T"
Sr -3.9007 -2.7566 -1.5586
Sr -4.9188 -2.7643 1.7749
Sr -8.1443 -2.6922 1.8748
Sr -0.6751 -2.8287 -1.6585
Zn -4.3450 0.0971 0.1345
Zn 0.0000 0.0000 0.0000
Pt -2.1795 -1.3857 0.8772
Pt -6.5751 -1.2722 -0.6345
Pt -6.6399 -4.1353 -0.6609
Pt -2.1357 -2.8417 3.3429
Pt -6.6837 -2.6792 -3.1266
Pt -2.2443 -4.2487 0.8508
```

Results
SG: P6_3/mmc (194)
Relative energy among the computed polymorphs in eV per atom: 0.000
Crystal system: hexagonal

=====

The following calculated volume values (in Å³ per cell) correspond, in order, to the records above: 104, 62, 154, 56, 210, 271, 100, 185, 117, 83, 246.
The following energy values (in Ry/atom) correspond, in order, to the records above: -0.2700, -0.5552, -0.2619, -0.6162, -0.4475, -0.1322, -0.3141, -0.3007, -0.2300, -0.3512, -0.3367.